Below is a relaxed ScAl2PdI crystal, with properties calculated at the PBE level.

Values from the calculation:
ΔE_f (raw): 0.810 eV per atom
magnetization: 0.4 μB/f.u.

Structure (CIF):
```
data_ScAl2PdI
_chemical_formula_sum 'Sc1 Al2 Pd1 I1'
_cell_length_a 5.377
_cell_length_b 5.393
_cell_length_c 5.377
_cell_angle_alpha 90.00
_cell_angle_beta 90.00
_cell_angle_gamma 90.00
_symmetry_space_group_name_H-M 'P 1'
_symmetry_Int_Tables_number 1
loop_
_symmetry_equiv_pos_as_xyz
'x,y,z'
loop_
_atom_site_label
_atom_site_fract_x
_atom_site_fract_y
_atom_site_fract_z
_atom_site_occupancy
I1 0.000 0.500 0.000 1
Sc1 0.000 0.000 0.000 1
Al1 0.000 0.000 0.500 1
Al2 0.500 0.000 0.000 1
Pd1 0.500 0.500 0.500 1
```